Na2LiCoO4 (PBE+U, optimized geometry); calculated total energy = -4.770 eV/atom; size of the total moment = 3.99 μB per formula unit
1.0
4.8485 0.0000 0.0000
2.4242 5.4546 0.0000
2.4242 0.0000 8.4885
Li O Na Co
2 8 4 2
Direct
0.0000 0.0000 0.0000
0.7500 0.5000 0.5000
0.2132 0.2030 0.9110
0.8758 0.7970 0.9110
0.1662 0.2970 0.4110
0.5368 0.2970 0.5890
0.8742 0.7030 0.5890
0.3272 0.7970 0.0890
0.5838 0.2030 0.0890
0.4228 0.7030 0.4110
0.9360 0.5000 0.1279
0.5640 0.5000 0.8721
0.8140 0.0000 0.3721
0.1860 0.0000 0.6279
0.5000 0.0000 0.0000
0.2500 0.5000 0.5000